VASP calculation (PBE-GGA) on an optimized crystal structure of CaS2NO.

Properties
The uncorrected formation energy comes out at 0.488 eV/atom. As for the density of states at the Fermi level: 2.9 states/eV/f.u. The calculation puts the relative energy among the computed polymorphs at 0.0 kJ per mole of atoms.

Geometry as POSCAR:
```
CaS2NO
1.0
4.270 0.000 0.000
0.000 4.270 0.000
0.000 0.000 4.112
Ca S N O
1 2 1 1
Direct
0.000 0.000 0.000
0.000 0.500 0.500
0.500 0.000 0.500
0.500 0.500 0.000
0.500 0.500 0.500
```

VASP calculation (PBE-GGA) on an optimized crystal structure of Cs2RbSrBr6.

Properties
The uncorrected formation energy comes out at -1.577 eV/atom. As for the density of states at the Fermi level: 7.9 states/eV/f.u.

Geometry as POSCAR:
```
Cs2RbSrBr6
1.0
0.000 6.271 6.271
6.271 0.000 6.271
6.271 6.271 0.000
Cs Rb Sr Br
2 1 1 6
Direct
0.250 0.250 0.250
0.750 0.750 0.750
0.000 0.000 0.000
0.500 0.500 0.500
0.261 0.261 0.739
0.261 0.739 0.261
0.261 0.739 0.739
0.739 0.261 0.261
0.739 0.261 0.739
0.739 0.739 0.261
```

VASP calculation (PBE-GGA) on an optimized crystal structure of BaCaBeRe2.

Properties
As for the density of states at the Fermi level: 5.7 states/eV/f.u. The calculation puts the total DFT energy (no corrections) at -5.493 eV/atom.

Geometry as POSCAR:
```
BaCaBeRe2
1.0
4.465 0.000 0.000
0.000 4.465 0.000
0.000 0.000 5.244
Ba Ca Be Re
1 1 1 2
Direct
0.000 0.000 0.000
0.500 0.500 0.000
0.500 0.500 0.500
0.000 0.500 0.500
0.500 0.000 0.500
```

VASP calculation (PBE-GGA) on an optimized crystal structure of RbNaHg3.

Properties
As for the density of states at the Fermi level: 2.0 states/eV/f.u. The calculation puts the relative energy among the computed polymorphs at 0.0 kJ per mole of atoms.

Geometry as POSCAR:
```
RbNaHg3
1.0
2.044 -15.422 0.000
2.044 15.422 0.000
0.000 0.000 5.267
Rb Na Hg
2 2 6
Direct
0.080 0.920 0.750
0.920 0.080 0.250
0.213 0.787 0.250
0.787 0.213 0.750
0.313 0.687 0.250
0.367 0.633 0.750
0.473 0.527 0.750
0.527 0.473 0.250
0.633 0.367 0.250
0.687 0.313 0.750
```

VASP calculation (PBE-GGA) on an optimized crystal structure of CaLu2Co.

Properties
As for the density of states at the Fermi level: 3.1 states/eV/f.u. The calculation puts the relative energy among the computed polymorphs at 0.0 kJ per mole of atoms.

Geometry as POSCAR:
```
CaLu2Co
1.0
3.339 0.000 0.000
0.000 3.339 0.000
0.000 0.000 9.275
Ca Lu Co
1 2 1
Direct
0.000 0.000 0.000
0.500 0.500 0.331
0.500 0.500 0.669
0.000 0.000 0.500
```